No. 1
DFT (PBE) results for a geometry-optimized RbBa2NaTl structure.

extended XYZ file:
```
5
Lattice="-1.233 -6.589 0.988 -0.840 -0.843 -6.670 6.992 -1.414 -0.702" Properties=species:S:1:pos:R:3 pbc="T T T"
Ba -0.420 -0.421 -3.335
Ba -0.617 -3.294 0.494
Rb 3.496 -0.707 -0.351
Na 2.459 -4.423 -3.192
Tl 0.000 0.000 0.000
```

E_form   0.03 eV/atom
SG   P4/mmm (123)
DOS at the Fermi energy   3.8 states/eV/cell
ρ   2.96 g/cm³
ΔE to the lowest computed polymorph   0.21 eV per formula unit

---

No. 2
DFT (PBE) results for a geometry-optimized RbBaNa2Tl structure.

extended XYZ file:
```
5
Lattice="-1.656 2.452 5.643 3.095 -4.719 2.958 5.524 3.646 0.037" Properties=species:S:1:pos:R:3 pbc="T T T"
Tl 0.000 0.000 0.000
Ba 2.762 1.823 0.018
Na -0.828 1.226 2.822
Na 1.547 -2.360 1.479
Rb 3.482 0.689 4.319
```

E_form   0.02 eV/atom
SG   P4/mmm (123)
DOS at the Fermi energy   5.0 states/eV/cell
ρ   2.92 g/cm³

---

No. 3
DFT (PBE) results for a geometry-optimized RbBa2NaTl structure.

extended XYZ file:
```
5
Lattice="-0.397 2.289 -6.455 3.182 -5.664 -2.205 -5.626 -2.895 -0.680" Properties=species:S:1:pos:R:3 pbc="T T T"
Na -2.813 -1.448 -0.340
Rb -1.421 -3.135 -4.670
Tl 0.000 0.000 0.000
Ba -0.199 1.145 -3.228
Ba 1.591 -2.832 -1.102
```

E_form   -0.01 eV/atom
SG   P4/mmm (123)
DOS at the Fermi energy   6.0 states/eV/cell
ρ   3.26 g/cm³
ΔE to the lowest computed polymorph   0.00 eV per formula unit

---

No. 4
DFT (PBE) results for a geometry-optimized RbBaNaW2 structure.

extended XYZ file:
```
5
Lattice="5.087 0.000 0.000 0.000 5.087 0.000 0.000 0.000 5.804" Properties=species:S:1:pos:R:3 pbc="T T T"
W 0.000 2.543 0.000
W 2.543 0.000 0.000
Rb 0.000 0.000 2.902
Ba 2.543 2.543 2.902
Na 0.000 0.000 0.000
```

E_form   2.51 eV/atom
SG   P4/mmm (123)
DOS at the Fermi energy   8.2 states/eV/cell
ρ   6.78 g/cm³

---

No. 5
DFT (PBE) results for a geometry-optimized RbBa2NaZn structure.

extended XYZ file:
```
5
Lattice="-4.412 -4.022 -2.900 -2.813 -1.167 5.898 -3.852 4.857 -0.876" Properties=species:S:1:pos:R:3 pbc="T T T"
Rb -5.539 -0.166 1.061
Na -1.926 2.429 -0.438
Ba -2.206 -2.011 -1.450
Ba -1.406 -0.583 2.949
Zn 0.000 0.000 0.000
```

E_form   0.06 eV/atom
SG   P4/mmm (123)
DOS at the Fermi energy   5.2 states/eV/cell
ρ   2.70 g/cm³
ΔE to the lowest computed polymorph   0.00 eV per formula unit

---

No. 6
DFT (PBE) results for a geometry-optimized RbBa2NaZn structure.

extended XYZ file:
```
5
Lattice="6.540 0.000 0.000 0.000 6.540 0.000 0.000 0.000 6.902" Properties=species:S:1:pos:R:3 pbc="T T T"
Ba 0.000 3.270 0.000
Ba 3.270 0.000 0.000
Na 3.270 3.270 3.451
Zn 0.000 0.000 0.000
Rb 0.000 0.000 3.451
```

E_form   0.09 eV/atom
SG   P4/mmm (123)
DOS at the Fermi energy   4.2 states/eV/cell
ρ   2.52 g/cm³
ΔE to the lowest computed polymorph   0.13 eV per formula unit

---

No. 7
DFT (PBE) results for a geometry-optimized RbBaNaZr2 structure.

extended XYZ file:
```
5
Lattice="-2.512 2.328 4.420 1.013 -5.552 3.500 4.922 1.998 1.745" Properties=species:S:1:pos:R:3 pbc="T T T"
Zr 2.461 0.999 0.873
Zr -1.256 1.164 2.210
Ba 0.000 0.000 0.000
Rb 0.507 -2.776 1.750
Na 1.711 -0.613 4.833
```

E_form   1.48 eV/atom
SG   P4/mmm (123)
DOS at the Fermi energy   10.9 states/eV/cell
ρ   3.42 g/cm³

---

No. 8
DFT (PBE) results for a geometry-optimized BaNaRe2 structure.

extended XYZ file:
```
4
Lattice="0.000 3.472 3.472 3.472 0.000 3.472 3.472 3.472 0.000" Properties=species:S:1:pos:R:3 pbc="T T T"
Na 0.000 0.000 0.000
Re 1.736 1.736 1.736
Re 5.208 5.208 5.208
Ba 3.472 3.472 3.472
```

E_form   2.18 eV/atom
SG   Fm-3m (225)
DOS at the Fermi energy   7.0 states/eV/cell
ρ   10.57 g/cm³
ΔE to the lowest computed polymorph   1.41 eV per formula unit

---

No. 9
DFT (PBE) results for a geometry-optimized Ba3NaRe structure.

extended XYZ file:
```
5
Lattice="6.114 0.000 0.000 0.000 6.114 0.000 0.000 0.000 6.114" Properties=species:S:1:pos:R:3 pbc="T T T"
Re 0.000 0.000 0.000
Ba 0.000 3.057 0.000
Ba 3.057 0.000 0.000
Ba 0.000 0.000 3.057
Na 3.057 3.057 3.057
```

E_form   0.60 eV/atom
SG   Pm-3m (221)
DOS at the Fermi energy   3.6 states/eV/cell
ρ   4.51 g/cm³
ΔE to the lowest computed polymorph   0.00 eV per formula unit

---

No. 10
DFT (PBE) results for a geometry-optimized BaNaRe2 structure.

extended XYZ file:
```
8
Lattice="8.749 0.000 0.000 0.000 8.749 0.000 4.374 4.374 2.548" Properties=species:S:1:pos:R:3 pbc="T T T"
Re 6.562 6.826 1.911
Re 6.297 2.187 0.637
Re 2.451 6.562 0.637
Re 10.936 10.672 1.911
Ba 8.749 4.374 1.274
Ba 0.000 0.000 0.000
Na 4.374 4.374 0.000
Na 4.374 8.749 1.274
```

E_form   1.83 eV/atom
SG   I-42d (122)
DOS at the Fermi energy   10.5 states/eV/cell
ρ   9.07 g/cm³
ΔE to the lowest computed polymorph   0.00 eV per formula unit

---

No. 11
DFT (PBE) results for a geometry-optimized BaNaRe3 structure.

extended XYZ file:
```
5
Lattice="5.131 0.000 0.000 0.000 5.131 0.000 0.000 0.000 5.131" Properties=species:S:1:pos:R:3 pbc="T T T"
Re 2.565 0.000 0.000
Re 0.000 2.565 0.000
Re 0.000 0.000 2.565
Ba 0.000 0.000 0.000
Na 2.565 2.565 2.565
```

E_form   3.63 eV/atom
SG   Pm-3m (221)
DOS at the Fermi energy   7.7 states/eV/cell
ρ   8.84 g/cm³
ΔE to the lowest computed polymorph   3.60 eV per formula unit

---

No. 12
DFT (PBE) results for a geometry-optimized Ba2NaRe structure.

extended XYZ file:
```
8
Lattice="-7.077 5.266 2.875 -4.222 -1.214 -8.171 -7.303 -0.900 -1.359" Properties=species:S:1:pos:R:3 pbc="T T T"
Ba -4.903 -0.657 -5.269
Ba -15.630 2.794 -6.169
Ba -9.448 0.921 -2.490
Ba -7.223 3.246 0.617
Na -5.650 2.026 -2.648
Na -8.588 -0.044 -6.089
Re -10.015 3.196 -0.566
Re 0.000 0.000 0.000
```

E_form   1.11 eV/atom
SG   I-42d (122)
DOS at the Fermi energy   6.5 states/eV/cell
ρ   5.19 g/cm³
ΔE to the lowest computed polymorph   0.75 eV per formula unit

---

No. 13
DFT (PBE) results for a geometry-optimized BaNaRe3 structure.

extended XYZ file:
```
5
Lattice="4.887 0.000 0.000 0.000 4.887 0.000 0.000 0.000 4.887" Properties=species:S:1:pos:R:3 pbc="T T T"
Re 0.000 0.000 2.443
Re 2.443 0.000 0.000
Re 0.000 2.443 0.000
Na 0.000 0.000 0.000
Ba 2.443 2.443 2.443
```

E_form   2.91 eV/atom
SG   Pm-3m (221)
DOS at the Fermi energy   3.4 states/eV/cell
ρ   10.23 g/cm³
ΔE to the lowest computed polymorph   0.00 eV per formula unit

---

No. 14
DFT (PBE) results for a geometry-optimized Ba2NaRe structure.

extended XYZ file:
```
4
Lattice="0.000 4.062 4.062 4.062 0.000 4.062 4.062 4.062 0.000" Properties=species:S:1:pos:R:3 pbc="T T T"
Ba 2.031 2.031 2.031
Ba 6.092 6.092 6.092
Na 0.000 0.000 0.000
Re 4.062 4.062 4.062
```

E_form   0.92 eV/atom
SG   Fm-3m (225)
DOS at the Fermi energy   2.8 states/eV/cell
ρ   6.00 g/cm³
ΔE to the lowest computed polymorph   0.00 eV per formula unit

---

No. 15
DFT (PBE) results for a geometry-optimized BaNaRe2Rh structure.

extended XYZ file:
```
5
Lattice="4.766 0.000 0.000 0.000 5.264 0.000 0.000 0.000 4.766" Properties=species:S:1:pos:R:3 pbc="T T T"
Re 2.383 0.000 0.000
Re 0.000 0.000 2.383
Ba 0.000 2.632 0.000
Rh 2.383 2.632 2.383
Na 0.000 0.000 0.000
```

E_form   2.70 eV/atom
SG   P4/mmm (123)
DOS at the Fermi energy   4.6 states/eV/cell
ρ   8.83 g/cm³

---

No. 16
DFT (PBE) results for a geometry-optimized BaNaReSn2 structure.

extended XYZ file:
```
5
Lattice="5.285 0.000 0.000 0.000 5.913 0.000 0.000 0.000 5.285" Properties=species:S:1:pos:R:3 pbc="T T T"
Sn 2.642 0.000 0.000
Sn 0.000 0.000 2.642
Ba 0.000 2.957 0.000
Na 2.642 2.957 2.642
Re 0.000 0.000 0.000
```

E_form   0.24 eV/atom
SG   P4/mmm (123)
DOS at the Fermi energy   4.6 states/eV/cell
ρ   5.87 g/cm³

---

No. 17
DFT (PBE) results for a geometry-optimized BaNaZr2Re structure.

extended XYZ file:
```
5
Lattice="-1.808 -4.122 2.394 1.912 -3.481 -4.550 4.485 -0.604 2.347" Properties=species:S:1:pos:R:3 pbc="T T T"
Ba 2.295 -4.103 0.096
Zr 2.242 -0.302 1.174
Zr -0.904 -2.061 1.197
Re 0.000 0.000 0.000
Na 0.956 -1.741 -2.275
```

E_form   0.56 eV/atom
SG   P4/mmm (123)
DOS at the Fermi energy   5.0 states/eV/cell
ρ   5.60 g/cm³

---

No. 18
DFT (PBE) results for a geometry-optimized Ba8Na6Rh structure.

extended XYZ file:
```
15
Lattice="6.940 0.004 -0.011 -0.005 9.785 -5.653 -0.002 -0.004 11.297" Properties=species:S:1:pos:R:3 pbc="T T T"
Na 5.248 8.895 0.726
Na 1.686 0.890 4.907
Na 5.255 4.707 1.666
Na 1.679 5.078 3.966
Na 5.253 5.981 -2.428
Na 1.681 3.804 8.061
Ba 5.142 0.190 2.531
Ba 1.812 6.522 -0.008
Ba 1.791 9.596 3.102
Ba 1.799 7.681 -4.226
Ba 5.134 2.105 9.858
Ba 5.122 3.264 5.641
Ba 5.132 7.493 4.528
Ba 1.802 2.293 1.104
Rh 3.469 -0.002 11.291
```

E_form   -0.04 eV/atom
SG   P-1 (2)
DOS at the Fermi energy   14.5 states/eV/cell
ρ   2.90 g/cm³

---

No. 19
DFT (PBE) results for a geometry-optimized Ba2NaRh2 structure.

extended XYZ file:
```
10
Lattice="9.092 0.000 0.000 0.000 9.092 0.000 0.000 0.000 3.489" Properties=species:S:1:pos:R:3 pbc="T T T"
Ba 3.264 7.810 0.000
Ba 7.810 5.829 0.000
Ba 1.283 3.264 0.000
Ba 5.829 1.283 0.000
Rh 3.097 1.449 1.744
Rh 1.449 5.995 1.744
Rh 5.995 7.643 1.744
Rh 7.643 3.097 1.744
Na 0.000 0.000 0.000
Na 4.546 4.546 0.000
```

E_form   0.21 eV/atom
SG   P4/mbm (127)
DOS at the Fermi energy   2.9 states/eV/cell
ρ   5.80 g/cm³
ΔE to the lowest computed polymorph   0.89 eV per formula unit

---

No. 20
DFT (PBE) results for a geometry-optimized Ba5NaRh2 structure.

extended XYZ file:
```
8
Lattice="4.650 0.000 -0.924 -0.686 7.342 -3.453 -0.442 0.120 9.942" Properties=species:S:1:pos:R:3 pbc="T T T"
Rh 0.212 5.037 1.067
Rh 3.310 2.425 4.498
Ba 1.217 0.720 6.125
Ba 0.871 4.419 4.385
Ba -0.343 3.671 -1.727
Ba 2.651 3.043 1.179
Ba 2.305 6.742 -0.561
Na 0.000 0.000 0.000
```

E_form   -0.13 eV/atom
SG   Immm (71)
DOS at the Fermi energy   5.5 states/eV/cell
ρ   4.49 g/cm³

---

No. 21
DFT (PBE) results for a geometry-optimized Ba19Na4Rh6 structure.

extended XYZ file:
```
29
Lattice="-3.286 4.833 10.766 -10.028 -2.654 -6.516 6.451 -10.236 1.918" Properties=species:S:1:pos:R:3 pbc="T T T"
Ba -6.225 -2.742 3.280
Ba -5.105 -3.205 -0.817
Ba 1.149 -1.962 4.605
Ba -3.394 -6.601 1.388
Ba -1.299 -4.680 -1.670
Ba -8.610 -0.559 -0.984
Ba -4.834 0.791 1.543
Ba 1.163 -8.586 -0.594
Ba 2.016 -3.441 8.078
Ba -2.049 -4.355 5.818
Ba 0.000 0.000 0.000
Ba -2.278 -8.210 -2.929
Ba -3.140 -0.271 5.203
Ba 0.586 -5.515 2.497
Ba -6.126 -8.432 -1.338
Ba -8.480 1.388 2.707
Ba 0.523 -7.298 7.543
Ba -0.446 -0.122 8.672
Ba -8.355 -0.657 6.339
Rh -4.120 -6.063 -1.555
Rh -7.819 -3.098 0.631
Rh 0.956 -4.959 5.537
Rh -0.760 -8.200 1.821
Rh -2.743 -1.994 7.723
Rh -6.103 0.143 4.347
Na 4.331 -6.872 1.287
Na -6.732 -1.782 -4.374
Na -2.206 3.244 7.228
Na -2.256 -2.648 2.027
```

E_form   -0.11 eV/atom
SG   I23 (197)
DOS at the Fermi energy   22.9 states/eV/cell
ρ   3.89 g/cm³

---

No. 22
DFT (PBE) results for a geometry-optimized Ba6Na3Rh structure.

extended XYZ file:
```
20
Lattice="7.818 0.000 0.110 0.000 11.078 0.000 0.247 0.000 12.103" Properties=species:S:1:pos:R:3 pbc="T T T"
Na 0.385 6.156 1.639
Na 0.124 0.000 6.051
Na 4.418 10.461 7.745
Na 3.909 5.539 0.055
Na 3.647 0.617 4.467
Na 7.680 4.922 10.574
Ba 1.449 1.297 9.591
Ba 5.279 3.304 7.797
Ba 2.831 6.836 8.618
Ba 5.234 4.242 3.595
Ba 1.502 3.866 5.799
Ba 2.787 7.773 4.416
Ba 2.531 9.405 0.307
Ba 6.564 7.212 6.414
Ba 6.617 9.781 2.622
Ba 5.534 1.673 11.905
Ba 6.819 8.843 10.522
Ba 1.246 2.235 1.691
Rh 0.000 0.000 0.000
Rh 4.033 5.539 6.106
```

E_form   -0.07 eV/atom
SG   P2_1/c (14)
DOS at the Fermi energy   15.9 states/eV/cell
ρ   3.16 g/cm³

---

No. 23
DFT (PBE) results for a geometry-optimized Ba5Na5Rh structure.

extended XYZ file:
```
11
Lattice="-2.389 -1.948 5.311 -4.281 -8.928 -5.199 10.001 1.365 1.449" Properties=species:S:1:pos:R:3 pbc="T T T"
Na -1.709 -6.431 0.423
Na -2.140 -4.464 -2.600
Na 5.040 -3.079 1.138
Na 1.187 -6.497 -1.848
Na 2.144 -3.013 3.409
Rh -2.389 -1.948 5.311
Ba 1.034 -2.853 -0.581
Ba 4.931 -1.165 5.341
Ba -1.195 -0.974 2.656
Ba 2.297 -6.658 2.142
Ba -1.599 -8.345 -3.780
```

E_form   -0.04 eV/atom
SG   Immm (71)
DOS at the Fermi energy   10.2 states/eV/cell
ρ   2.75 g/cm³

---

No. 24
DFT (PBE) results for a geometry-optimized Ba2Na2Rh structure.

extended XYZ file:
```
10
Lattice="5.273 -0.004 -0.737 -0.100 5.273 -0.738 -0.729 -0.748 14.269" Properties=species:S:1:pos:R:3 pbc="T T T"
Ba 2.834 0.193 1.060
Ba 3.317 3.383 4.599
Ba 1.120 1.145 8.194
Ba 4.302 1.683 11.734
Na 0.640 0.653 4.660
Na 1.522 4.230 11.057
Na 0.238 2.927 1.736
Na 3.801 3.872 8.133
Rh 2.594 2.627 -0.737
Rh 3.558 0.949 6.397
```

E_form   -0.03 eV/atom
SG   C2/c (15)
DOS at the Fermi energy   5.1 states/eV/cell
ρ   3.60 g/cm³